1.
Entry from the Alexandria database: a PBEsol-optimized structure of BeC (meta-GGA SCAN).

ΔE to the lowest computed polymorph   0.4069 eV/atom
E_form   1.097 eV per atom

```
data_BeC
_space_group_name_H-M_alt 'P m m n'
_space_group_IT_number 59
_cell_length_a 1.932
_cell_length_b 3.014
_cell_length_c 5.509
_cell_angle_alpha 90.00
_cell_angle_beta 90.00
_cell_angle_gamma 90.00
loop_
_space_group_symop_operation_xyz
'x,y,z'
'-x,-y,-z'
'-x+1/2,-y+1/2,z'
'x+1/2,y+1/2,-z'
'x+1/2,-y,-z'
'-x+1/2,y,z'
'-x,y+1/2,-z'
'x,-y+1/2,z'
loop_
_atom_site_label
_atom_site_type_symbol
_atom_site_fract_x
_atom_site_fract_y
_atom_site_fract_z
_atom_site_occupancy
Be1 Be 0.250 0.250 0.161 1
C1 C 0.250 0.250 0.782 1
```

2.
Entry from the Alexandria database: a PBEsol-optimized structure of La2TeRu (meta-GGA SCAN).

ΔE to the lowest computed polymorph   0.1701 eV/atom
Formation energy without anion corrections   -638 meV per atom

```
data_La2TeRu
_space_group_name_H-M_alt 'R 3 m'
_space_group_IT_number 160
_space_group_name_Hall 'R 3 -2"'
_cell_length_a 4.4710
_cell_length_b 4.4710
_cell_length_c 21.4246
_cell_angle_alpha 90.00
_cell_angle_beta 90.00
_cell_angle_gamma 120.00
loop_
_atom_site_label
_atom_site_type_symbol
_atom_site_fract_x
_atom_site_fract_y
_atom_site_fract_z
_atom_site_occupancy
La1 La 0.0000 0.0000 0.0000 1
La2 La 0.0000 0.0000 0.1735 1
Te1 Te 0.0000 0.0000 0.7477 1
Ru1 Ru 0.0000 0.0000 0.4334 1
```

3.
Entry from the Alexandria database: a PBEsol-optimized structure of ZrCu2Pb (meta-GGA SCAN).

E_form   -0.050 eV per atom

```
data_ZrCu2Pb
_space_group_name_H-M_alt 'P 4/m m m'
_space_group_IT_number 123
_space_group_name_Hall '-P 4 2'
_cell_length_a 4.173
_cell_length_b 4.173
_cell_length_c 3.965
_cell_angle_alpha 90.00
_cell_angle_beta 90.00
_cell_angle_gamma 90.00
loop_
_atom_site_label
_atom_site_type_symbol
_atom_site_fract_x
_atom_site_fract_y
_atom_site_fract_z
_atom_site_occupancy
Zr1 Zr 0.000 0.000 0.000 1
Cu1 Cu 0.000 0.500 0.500 1
Pb1 Pb 0.500 0.500 0.000 1
```

4.
Entry from the Alexandria database: a PBEsol-optimized structure of TlAg3Pd (meta-GGA SCAN).

ΔE to the lowest computed polymorph   0.0000 eV/atom
E_form   0.569 eV per atom

```
data_TlAg3Pd
_space_group_name_H-M_alt 'P m -3 m'
_space_group_IT_number 221
_space_group_name_Hall '-P 4 2 3'
_cell_length_a 4.990
_cell_length_b 4.990
_cell_length_c 4.990
_cell_angle_alpha 90.00
_cell_angle_beta 90.00
_cell_angle_gamma 90.00
loop_
_atom_site_label
_atom_site_type_symbol
_atom_site_fract_x
_atom_site_fract_y
_atom_site_fract_z
_atom_site_occupancy
Tl1 Tl 0.000 0.000 0.000 1
Ag1 Ag 0.000 0.500 0.500 1
Pd1 Pd 0.500 0.500 0.500 1
```

5.
Entry from the Alexandria database: a PBEsol-optimized structure of Hf2TcH2 (meta-GGA SCAN).

VASP energy   -2.5036 Ry per atom

```
data_Hf2TcH2
_space_group_name_H-M_alt 'I 4/m m m'
_space_group_IT_number 139
_space_group_name_Hall '-I 4 2'
_cell_length_a 3.234
_cell_length_b 3.234
_cell_length_c 11.444
_cell_angle_alpha 90.00
_cell_angle_beta 90.00
_cell_angle_gamma 90.00
loop_
_atom_site_label
_atom_site_type_symbol
_atom_site_fract_x
_atom_site_fract_y
_atom_site_fract_z
_atom_site_occupancy
Hf1 Hf 0.000 0.000 0.137 1
Tc1 Tc 0.000 0.000 0.500 1
H1 H 0.000 0.500 0.250 1
```

6.
Entry from the Alexandria database: a PBEsol-optimized structure of KRb3O (meta-GGA SCAN).

Formation energy without anion corrections   601 meV per atom

```
data_KRb3O
_space_group_name_H-M_alt 'P m -3 m'
_space_group_IT_number 221
_space_group_name_Hall '-P 4 2 3'
_cell_length_a 7.720
_cell_length_b 7.720
_cell_length_c 7.720
_cell_angle_alpha 90.00
_cell_angle_beta 90.00
_cell_angle_gamma 90.00
loop_
_atom_site_label
_atom_site_type_symbol
_atom_site_fract_x
_atom_site_fract_y
_atom_site_fract_z
_atom_site_occupancy
K1 K 0.000 0.000 0.000 1
Rb1 Rb 0.000 0.000 0.500 1
O1 O 0.500 0.500 0.500 1
```

What did the first record say?
Entry from the Alexandria database: a PBEsol-optimized structure of BeC (meta-GGA SCAN).

ΔE to the lowest computed polymorph   0.4069 eV/atom
E_form   1.097 eV per atom

```
data_BeC
_space_group_name_H-M_alt 'P m m n'
_space_group_IT_number 59
_cell_length_a 1.932
_cell_length_b 3.014
_cell_length_c 5.509
_cell_angle_alpha 90.00
_cell_angle_beta 90.00
_cell_angle_gamma 90.00
loop_
_space_group_symop_operation_xyz
'x,y,z'
'-x,-y,-z'
'-x+1/2,-y+1/2,z'
'x+1/2,y+1/2,-z'
'x+1/2,-y,-z'
'-x+1/2,y,z'
'-x,y+1/2,-z'
'x,-y+1/2,z'
loop_
_atom_site_label
_atom_site_type_symbol
_atom_site_fract_x
_atom_site_fract_y
_atom_site_fract_z
_atom_site_occupancy
Be1 Be 0.250 0.250 0.161 1
C1 C 0.250 0.250 0.782 1
```